## KZnGaGe2 (GGA-PBE)

Data for a relaxed KZnGaGe2 crystal.

Cell: 5.7018 5.7018 5.7573 Å, 90.00 90.00 90.00°
With the nearest neighbours (Å) after each atom.
Space group P4/mmm (No. 123)
One atom of each set of equivalent atoms:
K1 0.0000 0.0000 0.0000 [1 per cell]  4 Ge 2.85, 2 Ga 2.88
Zn1 0.5000 0.5000 0.5000 [1 per cell]  4 Ga 4.03, 8 Ge 4.05
Ga1 0.0000 0.0000 0.5000 [1 per cell]  2 K 2.88
Ge1 0.0000 0.5000 0.0000 [2 per cell]  2 K 2.85

Results
Size of the total moment ... 0.0 Bohr magnetons per cell
Formation energy ... 1.411 eV per atom
Energy relative to the lowest polymorph listed for this composition ... 1.526 eV per atom